A relaxed structure of SrGe3, computed with PBEsol.

Lattice parameters (Å, degrees): 7.676 7.676 11.937 90.00 90.00 90.00
Space group I4/mmm (No. 139)
Asymmetric unit:
Sr (0.000, 0.000, 0.170) x4
Sr (0.000, 0.500, 0.250) x4
Ge (0.000, 0.336, 0.000) x8
Ge (0.181, 0.181, 0.393) x16

Output
E_form   -0.35 eV/atom
Fermi-level density of states   1.692 states/eV/f.u.